(1)
This record from the Open Quantum Materials Database describes a geometry-optimized Ac2Zn5Ga3 structure. The functional is PBE.

Summary:
Energy: -2.8046 eV per atom

a = 8.818 Å, b = 8.818 Å, c = 8.818 Å
α = 105.31°, β = 89.30°, γ = 138.43°
Fractional coordinates of all 20 atoms:
1 Ac 0.124 0.248 0.373
2 Ac 0.376 0.748 0.124
3 Ac 0.624 0.252 0.876
4 Ac 0.876 0.752 0.627
5 Zn 0.003 0.750 0.253
6 Zn 0.127 0.873 0.000
7 Zn 0.250 0.750 0.500
8 Zn 0.373 0.373 0.747
9 Zn 0.497 0.750 0.747
10 Zn 0.503 0.250 0.253
11 Zn 0.627 0.627 0.253
12 Zn 0.750 0.250 0.500
13 Zn 0.873 0.127 0.000
14 Zn 0.997 0.250 0.747
15 Ga 0.125 0.633 0.759
16 Ga 0.250 0.250 0.000
17 Ga 0.375 0.133 0.508
18 Ga 0.625 0.867 0.492
19 Ga 0.750 0.750 0.000
20 Ga 0.875 0.367 0.241


(2)
This record from the Open Quantum Materials Database describes a geometry-optimized AcGd structure. The functional is PBE.

Summary:
Formation enthalpy at 0 K: 0.078 eV/atom

a = 3.830 Å, b = 3.830 Å, c = 6.024 Å
α = 90.00°, β = 90.00°, γ = 120.00°
Fractional coordinates of all 2 atoms:
1 Ac 0.000 0.000 0.000
2 Gd 0.667 0.333 0.500


(3)
This record from the Open Quantum Materials Database describes a geometry-optimized Ac2Gd structure. The functional is PBE.

Summary:
Formation enthalpy at 0 K: 2.115 eV/atom

a = 10.255 Å, b = 10.255 Å, c = 10.255 Å
α = 60.00°, β = 60.00°, γ = 60.00°
Fractional coordinates of all 6 atoms:
1 Ac 0.000 0.000 0.000
2 Ac 0.000 0.000 0.500
3 Ac 0.000 0.500 0.000
4 Ac 0.500 0.000 0.000
5 Gd 0.125 0.125 0.125
6 Gd 0.875 0.875 0.875


(4)
This record from the Open Quantum Materials Database describes a geometry-optimized AcGd structure. The functional is PBE.

Summary:
Formation enthalpy at 0 K: 0.749 eV/atom

a = 4.901 Å, b = 4.901 Å, c = 4.901 Å
α = 60.00°, β = 60.00°, γ = 60.00°
Fractional coordinates of all 2 atoms:
1 Ac 0.000 0.000 0.000
2 Gd 0.500 0.500 0.500


(5)
This record from the Open Quantum Materials Database describes a geometry-optimized AcGd structure. The functional is PBE.

Summary:
Formation enthalpy at 0 K: 1.728 eV/atom

a = 5.278 Å, b = 5.278 Å, c = 5.278 Å
α = 60.00°, β = 60.00°, γ = 60.00°
Fractional coordinates of all 2 atoms:
1 Ac 0.000 0.000 0.000
2 Gd 0.750 0.750 0.750


(6)
This record from the Open Quantum Materials Database describes a geometry-optimized AcGdIr structure. The functional is PBE.

Summary:
Formation enthalpy at 0 K: 0.432 eV/atom

a = 4.943 Å, b = 4.943 Å, c = 4.943 Å
α = 60.00°, β = 60.00°, γ = 60.00°
Fractional coordinates of all 3 atoms:
1 Ac 0.000 0.000 0.000
2 Gd 0.750 0.750 0.750
3 Ir 0.250 0.250 0.250


(7)
This record from the Open Quantum Materials Database describes a geometry-optimized KAcGd structure. The functional is PBE.

Summary:
Energy: -2.1937 eV per atom

a = 5.906 Å, b = 5.906 Å, c = 5.906 Å
α = 60.00°, β = 60.00°, γ = 60.00°
Fractional coordinates of all 3 atoms:
1 K 0.000 0.000 0.000
2 Ac 0.750 0.750 0.750
3 Gd 0.250 0.250 0.250


(8)
This record from the Open Quantum Materials Database describes a geometry-optimized AcLaGd structure. The functional is PBE.

Summary:
Formation enthalpy at 0 K: 0.693 eV/atom

a = 5.648 Å, b = 5.648 Å, c = 5.648 Å
α = 60.00°, β = 60.00°, γ = 60.00°
Fractional coordinates of all 3 atoms:
1 Ac 0.000 0.000 0.000
2 La 0.250 0.250 0.250
3 Gd 0.500 0.500 0.500


Values for total magnetization, μB per cell, ordered as above
0.03 0.01 5.25 0.70 0.08 0.00 0.83 1.08